1.
{"formula": "La3SbAsN", "functional": "GGA-PBE", "state": "relaxed", "raw_formation_energy_ev_per_fu": -8.1, "total_energy_ev_per_cell": -80.02, "lattice": [[-0.577, 1.229, -4.148], [-9.101, 0.375, 1.376], [2.613, 9.029, 2.311]], "species": ["N", "N", "As", "As", "Sb", "Sb", "La", "La", "La", "La", "La", "La"], "frac_coords": [[0.250, 0.085, 0.600], [0.750, 0.915, 0.400], [0.250, 0.651, 0.157], [0.750, 0.349, 0.843], [0.750, 0.820, 0.781], [0.250, 0.180, 0.219], [0.750, 0.159, 0.515], [0.750, 0.418, 0.155], [0.250, 0.106, 0.835], [0.250, 0.841, 0.485], [0.250, 0.582, 0.845], [0.750, 0.894, 0.165]]}

---

2.
{"formula": "CsLi2Cd2", "functional": "GGA-PBE", "state": "relaxed", "ef_ev_per_atom": -0.016, "total_energy_ev_per_cell": -13.18, "lattice": [[9.076, 0.000, 0.000], [0.000, 9.076, 0.000], [0.000, 0.000, 3.406]], "species": ["Li", "Li", "Li", "Li", "Cd", "Cd", "Cd", "Cd", "Cs", "Cs"], "frac_coords": [[0.843, 0.657, 0.000], [0.657, 0.157, 0.000], [0.157, 0.343, 0.000], [0.343, 0.843, 0.000], [0.120, 0.620, 0.500], [0.620, 0.880, 0.500], [0.380, 0.120, 0.500], [0.880, 0.380, 0.500], [0.000, 0.000, 0.000], [0.500, 0.500, 0.000]]}

---

3.
{"formula": "CuGe2Te", "functional": "GGA-PBE", "state": "relaxed", "raw_formation_energy_ev_per_fu": 0.8, "total_energy_ev_per_cell": -31.43, "lattice": [[-2.742, 2.105, 4.769], [-5.180, -1.701, -2.227], [-3.369, -5.124, 3.962]], "species": ["Te", "Te", "Ge", "Ge", "Ge", "Ge", "Cu", "Cu"], "frac_coords": [[0.750, 0.250, 0.500], [0.000, 0.000, 0.000], [0.875, 0.810, 0.750], [0.375, 0.440, 0.750], [0.190, 0.625, 0.250], [0.560, 0.125, 0.250], [0.500, 0.500, 0.000], [0.250, 0.750, 0.500]]}

---

4.
{"formula": "LiBiB2", "functional": "GGA-PBE", "state": "relaxed", "ef_ev_per_atom": 1.308, "total_energy_ev_per_cell": -13.92, "lattice": [[0.000, 3.134, 3.134], [3.134, 0.000, 3.134], [3.134, 3.134, 0.000]], "species": ["Li", "B", "B", "Bi"], "frac_coords": [[0.000, 0.000, 0.000], [0.750, 0.750, 0.750], [0.250, 0.250, 0.250], [0.500, 0.500, 0.500]]}

---

5.
{"formula": "K2CaCd12Ag3", "functional": "GGA-PBE", "state": "relaxed", "ef_ev_per_atom": 0.138, "total_energy_ev_per_cell": -21.25, "lattice": [[-6.053, 2.241, 5.635], [-5.406, -6.629, 0.500], [1.862, -4.089, 7.296]], "species": ["Cd", "Cd", "Cd", "Cd", "Cd", "Cd", "Cd", "Cd", "Cd", "Cd", "Cd", "Cd", "Ag", "Ag", "Ag", "Ca", "K", "K"], "frac_coords": [[0.156, 0.156, 0.630], [0.703, 0.146, 0.703], [0.156, 0.630, 0.156], [0.297, 0.854, 0.297], [0.854, 0.297, 0.297], [0.844, 0.844, 0.370], [0.146, 0.703, 0.703], [0.844, 0.370, 0.844], [0.703, 0.703, 0.146], [0.297, 0.297, 0.854], [0.630, 0.156, 0.156], [0.370, 0.844, 0.844], [0.000, 0.500, 0.000], [0.500, 0.000, 0.000], [0.000, 0.000, 0.500], [0.000, 0.000, 0.000], [0.594, 0.594, 0.594], [0.406, 0.406, 0.406]]}